A plane-wave DFT calculation with PBE-GGA was carried out for crystalline K2RbAs at its relaxed geometry.

Cell: 4.084 5.759 19.638 Å, 90.00 90.00 90.00°
Space group Immm (No. 71)
Asymmetric unit:
K 0.000 0.000 0.160 [4 per cell]
Rb 0.000 0.000 0.500 [2 per cell]
As 0.000 0.000 0.000 [2 per cell]

## Properties
crystal system	orthorhombic
V	462	Å³ per cell
ΔH_f (0 K)	-0.041	eV per atom